{"formula": "Pm6AgSb2", "functional": "PBE", "state": "relaxed", "spacegroup": "P-62m", "e_form_raw_ev_per_atom": -0.58, "magmom_total_mub_per_cell": 0.00, "lattice_angstrom": [[8.649, 0.000, 0.000], [-4.325, 7.490, 0.000], [0.000, 0.000, 4.162]], "species": ["Pm", "Pm", "Pm", "Pm", "Pm", "Pm", "Ag", "Sb", "Sb"], "fractional_positions": [[0.000, 0.408, 0.000], [0.000, 0.739, 0.500], [0.261, 0.261, 0.500], [0.408, 0.000, 0.000], [0.592, 0.592, 0.000], [0.739, 0.000, 0.500], [0.000, 0.000, 0.000], [0.333, 0.667, 0.500], [0.667, 0.333, 0.500]]}



{"formula": "TeMoPt", "functional": "PBE", "state": "relaxed", "polymorph_energy_ev_per_atom": 0.028, "spacegroup": "F-43m", "e_form_raw_ev_per_atom": 0.18, "magmom_total_mub_per_cell": 0.69, "lattice_angstrom": [[0.000, 3.154, 3.154], [3.154, 0.000, 3.154], [3.154, 3.154, 0.000]], "species": ["Te", "Mo", "Pt"], "fractional_positions": [[0.000, 0.000, 0.000], [0.250, 0.250, 0.250], [0.500, 0.500, 0.500]]}